A relaxed structure of Hf2NiHgMo, computed with PBE.

```
Hf2NiHgMo
1.0
5.146 0.000 0.000
0.000 5.146 0.000
0.000 0.000 4.487
Hf Ni Hg Mo
2 1 1 1
direct
0.000 0.500 0.000
0.500 0.000 0.000
0.000 0.000 0.500
0.000 0.000 0.000
0.500 0.500 0.500
```

Computed properties:
* magnetic moment: 0.0 μB per cell
* E_form: 1.58 eV/atom
* mass density: 10.0 g cm⁻³
* E: -5.78 eV/atom

***

A relaxed structure of MgTc, computed with PBE.

```
MgTc
1.0
2.789 0.000 0.000
-1.394 2.415 0.000
0.000 0.000 9.944
Mg Tc
2 2
direct
0.333 0.667 0.000
0.667 0.333 0.500
0.333 0.667 0.268
0.667 0.333 0.768
```

Computed properties:
* magnetic moment: 0.0 μB per cell
* E_form: 0.52 eV/atom
* mass density: 6.1 g cm⁻³
* E: -5.46 eV/atom

***

A relaxed structure of Y6TeSe3S2, computed with PBE.

```
Y6TeSe3S2
1.0
8.900 -2.031 0.000
8.900 2.031 0.000
-1.913 0.000 8.015
Y Te Se S
6 1 3 2
direct
0.012 0.012 0.275
0.325 0.325 0.886
0.329 0.329 0.429
0.671 0.671 0.571
0.675 0.675 0.114
0.988 0.988 0.725
0.500 0.500 0.000
0.161 0.161 0.836
0.500 0.500 0.500
0.839 0.839 0.164
0.171 0.171 0.340
0.829 0.829 0.660
```

Computed properties:
* magnetic moment: 0.0 μB per cell
* uncorrected formation energy: -1745 meV/atom
* mass density: 5.5 g cm⁻³
* E: -6.80 eV/atom

***

A relaxed structure of KRbZnCd, computed with PBE.

```
KRbZnCd
1.0
0.000 4.365 4.365
4.365 0.000 4.365
4.365 4.365 0.000
K Rb Zn Cd
1 1 1 1
direct
0.000 0.000 0.000
0.500 0.500 0.500
0.750 0.750 0.750
0.250 0.250 0.250
```

Computed properties:
* magnetic moment: 0.0 μB per cell
* E_form: 0.13 eV/atom
* mass density: 3.0 g cm⁻³
* E: -0.94 eV/atom

***

A relaxed structure of NdDy6Mg2, computed with PBE.

```
NdDy6Mg2
1.0
3.598 2.077 6.381
-3.598 2.077 6.381
0.000 -4.154 6.381
Nd Dy Mg
1 6 2
direct
0.000 0.000 0.000
0.286 0.729 0.729
0.453 0.943 0.943
0.729 0.286 0.729
0.729 0.729 0.286
0.943 0.453 0.943
0.943 0.943 0.453
0.256 0.256 0.256
0.433 0.433 0.433
```

Computed properties:
* magnetic moment: 0.0 μB per cell
* E_form: 0.43 eV/atom
* mass density: 6.8 g cm⁻³
* E: -3.52 eV/atom

***

A relaxed structure of Nd4B, computed with PBE.

```
Nd4B
1.0
5.362 0.000 0.000
0.000 5.362 0.000
0.000 0.000 5.362
Nd B
4 1
direct
0.000 0.000 0.000
0.000 0.500 0.500
0.500 0.000 0.500
0.500 0.500 0.000
0.500 0.500 0.500
```

Computed properties:
* magnetic moment: 0.0 μB per cell
* E_form: 0.14 eV/atom
* mass density: 6.3 g cm⁻³
* E: -5.01 eV/atom

***

A relaxed structure of CsZnGa2I, computed with PBE.

```
CsZnGa2I
1.0
5.076 0.000 0.000
0.000 5.076 0.000
0.000 0.000 7.935
Cs Zn Ga I
1 1 2 1
direct
0.000 0.000 0.000
0.000 0.000 0.500
0.000 0.500 0.500
0.500 0.000 0.500
0.500 0.500 0.000
```

Computed properties:
* magnetic moment: 0.0 μB per cell
* uncorrected formation energy: -115 meV/atom
* mass density: 3.8 g cm⁻³
* E: -2.06 eV/atom

***

A relaxed structure of AsIr2Cl, computed with PBE.

```
AsIr2Cl
1.0
2.866 0.000 0.000
0.000 4.338 0.000
0.000 0.000 5.136
As Ir Cl
1 2 1
direct
0.000 0.000 0.000
0.000 0.500 0.500
0.500 0.500 0.000
0.500 0.000 0.500
```

Computed properties:
* magnetic moment: 0.0 μB per cell
* uncorrected formation energy: 678 meV/atom
* mass density: 12.9 g cm⁻³
* E: -5.38 eV/atom

***

A relaxed structure of Sm2HoSc4, computed with PBE.

```
Sm2HoSc4
1.0
1.831 -10.534 0.000
1.831 10.534 0.000
0.000 0.000 5.244
Sm Ho Sc
2 1 4
direct
0.074 0.926 0.000
0.926 0.074 0.000
0.500 0.500 0.500
0.183 0.817 0.500
0.302 0.698 0.000
0.698 0.302 0.000
0.817 0.183 0.500
```

Computed properties:
* magnetic moment: 0.0 μB per cell
* E_form: 0.18 eV/atom
* mass density: 5.3 g cm⁻³
* E: -5.44 eV/atom

***

A relaxed structure of Ti2CCl2, computed with PBE.

```
Ti2CCl2
1.0
1.616 0.933 9.544
-1.616 0.933 9.544
0.000 -1.866 9.544
Ti C Cl
2 1 2
direct
0.129 0.129 0.129
0.871 0.871 0.871
0.500 0.500 0.500
0.264 0.264 0.264
0.736 0.736 0.736
```

Computed properties:
* magnetic moment: 0.0 μB per cell
* uncorrected formation energy: -1367 meV/atom
* mass density: 3.4 g cm⁻³
* E: -7.11 eV/atom

***

A relaxed structure of MgTcBiO6, computed with PBE.

```
MgTcBiO6
1.0
5.250 0.000 0.000
-2.625 4.547 0.000
0.000 0.000 9.720
Mg Tc Bi O
2 2 2 12
direct
0.333 0.667 0.250
0.667 0.333 0.750
0.333 0.667 0.750
0.667 0.333 0.250
0.000 0.000 0.000
0.000 0.000 0.500
0.023 0.378 0.639
0.023 0.645 0.861
0.355 0.378 0.861
0.355 0.977 0.639
0.378 0.023 0.139
0.378 0.355 0.361
0.622 0.645 0.639
0.622 0.977 0.861
0.645 0.023 0.361
0.645 0.622 0.139
0.977 0.355 0.139
0.977 0.622 0.361
```

Computed properties:
* magnetic moment: 0.0 μB per cell
* uncorrected formation energy: -1547 meV/atom
* mass density: 6.1 g cm⁻³
* E: -6.61 eV/atom

***

A relaxed structure of KY, computed with PBE.

```
KY
1.0
3.629 0.000 0.000
-1.814 3.142 0.000
0.000 0.000 14.557
K Y
2 2
direct
0.333 0.667 0.000
0.667 0.333 0.500
0.333 0.667 0.254
0.667 0.333 0.754
```

Computed properties:
* magnetic moment: 0.0 μB per cell
* E_form: 0.52 eV/atom
* mass density: 2.6 g cm⁻³
* E: -3.26 eV/atom

***

A relaxed structure of Tb3SiTe2, computed with PBE.

```
Tb3SiTe2
1.0
3.717 -6.437 0.000
3.717 6.437 0.000
-2.472 0.000 7.116
Tb Si Te
6 2 4
direct
0.070 0.424 0.774
0.219 0.219 0.221
0.424 0.070 0.774
0.576 0.930 0.226
0.781 0.781 0.779
0.930 0.576 0.226
0.168 0.832 0.000
0.832 0.168 0.000
0.000 0.000 0.500
0.340 0.660 0.500
0.500 0.500 0.000
0.660 0.340 0.500
```

Computed properties:
* magnetic moment: 0.0 μB per cell
* uncorrected formation energy: -1239 meV/atom
* mass density: 7.4 g cm⁻³
* E: -5.51 eV/atom

***

A relaxed structure of Mn2CrCl, computed with PBE.

```
Mn2CrCl
1.0
3.613 -1.476 0.000
3.613 1.476 0.000
-3.581 0.000 6.509
Mn Cr Cl
2 1 1
direct
0.126 0.126 0.313
0.874 0.874 0.687
0.500 0.500 0.500
0.500 0.500 0.000
```

Computed properties:
* magnetic moment: 3.9 μB per cell
* uncorrected formation energy: 265 meV/atom
* mass density: 4.7 g cm⁻³
* E: -7.19 eV/atom

***

A relaxed structure of HoMg2, computed with PBE.

```
HoMg2
1.0
0.000 4.255 4.255
4.255 0.000 4.255
4.255 4.255 0.000
Ho Mg
2 4
direct
0.125 0.125 0.125
0.875 0.875 0.875
0.000 0.500 0.500
0.500 0.000 0.500
0.500 0.500 0.000
0.500 0.500 0.500
```

Computed properties:
* magnetic moment: 0.0 μB per cell
* E_form: -0.06 eV/atom
* mass density: 4.6 g cm⁻³
* E: -2.65 eV/atom

***

A relaxed structure of CaTb3Sm4Se8, computed with PBE.

```
CaTb3Sm4Se8
1.0
4.134 2.387 6.802
-4.134 2.387 6.802
0.000 -4.774 6.802
Ca Tb Sm Se
1 3 4 8
direct
0.000 0.000 0.000
0.000 0.500 0.500
0.500 0.000 0.500
0.500 0.500 0.000
0.000 0.000 0.500
0.000 0.500 0.000
0.500 0.000 0.000
0.500 0.500 0.500
0.248 0.248 0.747
0.248 0.747 0.248
0.252 0.252 0.252
0.253 0.752 0.752
0.747 0.248 0.248
0.748 0.748 0.748
0.752 0.253 0.752
0.752 0.752 0.253
```

Computed properties:
* magnetic moment: 0.0 μB per cell
* uncorrected formation energy: -1817 meV/atom
* mass density: 7.2 g cm⁻³
* E: -5.73 eV/atom

***

A relaxed structure of PuMo2N3, computed with PBE.

```
PuMo2N3
1.0
5.473 0.000 0.000
0.000 3.041 0.000
-1.796 0.000 8.328
Pu Mo N
2 4 6
direct
0.026 0.250 0.319
0.974 0.750 0.681
0.285 0.250 0.002
0.471 0.250 0.661
0.529 0.750 0.339
0.715 0.750 0.998
0.153 0.750 0.141
0.278 0.750 0.505
0.383 0.750 0.829
0.617 0.250 0.171
0.722 0.250 0.495
0.847 0.250 0.859
```

Computed properties:
* magnetic moment: 8.6 μB per cell
* uncorrected formation energy: -550 meV/atom
* mass density: 11.5 g cm⁻³
* E: -10.71 eV/atom

***

A relaxed structure of Ce3U2PaP6, computed with PBE.

```
Ce3U2PaP6
1.0
3.463 -6.000 0.000
3.463 6.000 0.000
-2.310 0.000 6.612
Ce U Pa P
3 2 1 6
direct
0.000 0.000 0.000
0.334 0.666 0.000
0.666 0.334 0.000
0.167 0.833 0.500
0.833 0.167 0.500
0.500 0.500 0.500
0.086 0.420 0.261
0.245 0.245 0.738
0.420 0.086 0.261
0.580 0.914 0.739
0.755 0.755 0.262
0.914 0.580 0.739
```

Computed properties:
* magnetic moment: 5.6 μB per cell
* E_form: -1.28 eV/atom
* mass density: 7.9 g cm⁻³
* E: -8.14 eV/atom

***

A relaxed structure of KSi2Cl, computed with PBE.

```
KSi2Cl
1.0
1.663 -2.777 0.000
1.663 2.777 0.000
0.000 0.000 9.846
K Si Cl
1 2 1
direct
0.000 0.000 0.000
0.500 0.500 0.288
0.500 0.500 0.712
0.000 0.000 0.500
```

Computed properties:
* magnetic moment: 0.0 μB per cell
* uncorrected formation energy: 647 meV/atom
* mass density: 2.4 g cm⁻³
* E: -2.80 eV/atom

***

A relaxed structure of La2Sn2Pd, computed with PBE.

```
La2Sn2Pd
1.0
7.328 0.000 0.000
0.000 7.328 0.000
0.000 0.000 5.105
La Sn Pd
4 4 2
direct
0.169 0.331 0.000
0.331 0.831 0.000
0.669 0.169 0.000
0.831 0.669 0.000
0.144 0.644 0.500
0.356 0.144 0.500
0.644 0.856 0.500
0.856 0.356 0.500
0.000 0.000 0.500
0.500 0.500 0.500
```

Computed properties:
* magnetic moment: 0.0 μB per cell
* E_form: -0.76 eV/atom
* mass density: 7.5 g cm⁻³
* E: -5.37 eV/atom

***

A relaxed structure of Rb3Pm3HoTe8, computed with PBE.

```
Rb3Pm3HoTe8
1.0
4.495 2.595 8.851
-4.495 2.595 8.851
0.000 -5.191 8.851
Rb Pm Ho Te
3 3 1 8
direct
0.000 0.500 0.500
0.500 0.000 0.500
0.500 0.500 0.000
0.000 0.000 0.500
0.000 0.500 0.000
0.500 0.000 0.000
0.500 0.500 0.500
0.235 0.235 0.235
0.239 0.731 0.731
0.269 0.269 0.761
0.269 0.761 0.269
0.731 0.239 0.731
0.731 0.731 0.239
0.761 0.269 0.269
0.765 0.765 0.765
```

Computed properties:
* magnetic moment: 0.0 μB per cell
* uncorrected formation energy: -1322 meV/atom
* mass density: 5.0 g cm⁻³
* E: -4.45 eV/atom

***

A relaxed structure of Ba3Os, computed with PBE.

```
Ba3Os
1.0
5.008 0.000 0.000
0.000 5.016 0.000
0.000 0.000 6.833
Ba Os
3 1
direct
0.000 0.000 0.000
0.000 0.500 0.455
0.500 0.000 0.446
0.500 0.500 0.171
```

Computed properties:
* magnetic moment: 0.0 μB per cell
* E_form: 0.75 eV/atom
* mass density: 5.8 g cm⁻³
* E: -3.50 eV/atom